# 1
VASP calculation (GGA-PBE) on a relaxed U4Ga6Ru7 crystal.

Calculated total energy, eV/atom: -7.945
V, Å³/cell: 286.6
Symmetry: Im-3m (229)
ΔE_f, meV per atom: -401
Spin magnetization, μB/f.u.: 3.26

Cell: 7.1941 7.1941 7.1941 Å, 109.47 109.47 109.47°
Fractional coordinates of all 17 atoms:
U 0.0000 0.0000 0.5000
U 0.0000 0.5000 0.0000
U 0.5000 0.0000 0.0000
U 0.5000 0.5000 0.5000
Ga 0.0000 0.3056 0.3056
Ga 0.0000 0.6944 0.6944
Ga 0.3056 0.0000 0.3056
Ga 0.3056 0.3056 0.0000
Ga 0.6944 0.0000 0.6944
Ga 0.6944 0.6944 0.0000
Ru 0.0000 0.0000 0.0000
Ru 0.2500 0.5000 0.7500
Ru 0.2500 0.7500 0.5000
Ru 0.5000 0.2500 0.7500
Ru 0.5000 0.7500 0.2500
Ru 0.7500 0.2500 0.5000
Ru 0.7500 0.5000 0.2500

# 2
VASP calculation (GGA-PBE) on a relaxed BaCdPb3 crystal.

Calculated total energy, eV/atom: -1.950
V, Å³/cell: 263.6
Symmetry: Pm-3m (221)
Distance to the lowest polymorph of the same formula, meV/atom: 1097
ΔE_f, meV per atom: 843
Spin magnetization, μB/f.u.: 0.00

Cell: 6.4119 6.4119 6.4119 Å, 90.00 90.00 90.00°
Fractional coordinates of all 5 atoms:
Ba 0.0000 0.0000 0.0000
Cd 0.5000 0.5000 0.5000
Pb 0.0000 0.0000 0.5000
Pb 0.0000 0.5000 0.0000
Pb 0.5000 0.0000 0.0000

# 3
VASP calculation (GGA-PBE) on a relaxed Tl4Ge crystal.

Calculated total energy, eV/atom: -2.536
V, Å³/cell: 173.1
Symmetry: Pm-3m (221)
ΔE_f, meV per atom: 281
Spin magnetization, μB/f.u.: 0.00

Cell: 5.5729 5.5729 5.5729 Å, 90.00 90.00 90.00°
Fractional coordinates of all 5 atoms:
Tl 0.0000 0.0000 0.0000
Tl 0.0000 0.5000 0.5000
Tl 0.5000 0.0000 0.5000
Tl 0.5000 0.5000 0.0000
Ge 0.5000 0.5000 0.5000

# 4
VASP calculation (GGA-PBE) on a relaxed Cr2CoAgHg crystal.

Calculated total energy, eV/atom: -4.348
V, Å³/cell: 124.9
Symmetry: P4/mmm (123)
ΔE_f, meV per atom: 1553
Spin magnetization, μB/f.u.: 7.20

Cell: 5.0993 5.0993 4.8028 Å, 90.00 90.00 90.00°
Fractional coordinates of all 5 atoms:
Cr 0.0000 0.5000 0.0000
Cr 0.5000 0.0000 0.0000
Co 0.0000 0.0000 0.5000
Ag 0.5000 0.5000 0.5000
Hg 0.0000 0.0000 0.0000